(1)
SiGeAs | Alexandria | GGA-PBE | relaxed; ΔE_f (raw) = 5.49 kcal/mol of atoms; VASP energy = -4.66 eV/atom; distance to the lowest polymorph of the same formula = 34 meV per atom; total magnetization = 0.00 Bohr magnetons per cell
1.0
-1.695 -3.374 -4.076
-5.812 -5.405 3.104
-7.227 3.253 -3.475
Si Ge As
6 6 6
Direct
0.160 0.755 0.203
0.725 0.275 0.110
0.891 0.775 0.610
0.102 0.236 0.406
0.256 0.736 0.906
0.882 0.255 0.703
0.694 0.969 0.153
0.635 0.575 0.150
0.255 0.912 0.393
0.184 0.469 0.653
0.640 0.075 0.650
0.440 0.412 0.893
0.914 0.551 0.338
0.200 0.200 0.081
0.520 0.700 0.581
0.507 0.277 0.417
0.799 0.777 0.917
0.197 0.051 0.838



(2)
Rb2IrAu2 | Alexandria | GGA-PBE | relaxed; VASP energy = -3.21 eV/atom; distance to the lowest polymorph of the same formula = 0 meV per atom; total magnetization = 0.00 Bohr magnetons per cell; calculated formation energy = 0.26 eV/atom
1.0
6.951 0.000 0.000
0.000 6.951 0.000
0.000 0.000 5.632
Ir Au Rb
2 4 4
Direct
0.000 0.000 0.000
0.500 0.500 0.000
0.357 0.857 0.000
0.857 0.643 0.000
0.643 0.143 0.000
0.143 0.357 0.000
0.179 0.679 0.500
0.679 0.821 0.500
0.821 0.321 0.500
0.321 0.179 0.500



(3)
CuNi | Alexandria | GGA-PBE | relaxed; VASP energy = -4.73 eV/atom; total magnetization = 2.56 Bohr magnetons per cell; calculated formation energy = 0.21 eV/atom
1.0
7.335 0.000 0.000
0.000 7.335 0.000
0.000 0.000 3.628
Cu Ni
8 8
Direct
0.823 0.500 0.000
0.177 0.500 0.000
0.500 0.177 0.000
0.500 0.823 0.000
0.323 0.000 0.500
0.677 0.000 0.500
0.000 0.677 0.500
0.000 0.323 0.500
0.165 0.165 0.000
0.165 0.835 0.000
0.835 0.165 0.000
0.835 0.835 0.000
0.665 0.665 0.500
0.665 0.335 0.500
0.335 0.665 0.500
0.335 0.335 0.500



(4)
PRhBr | Alexandria | GGA-PBE | relaxed; ΔE_f (raw) = 2.24 kcal/mol of atoms; VASP energy = -4.71 eV/atom; distance to the lowest polymorph of the same formula = 364 meV per atom; total magnetization = 0.00 Bohr magnetons per cell
1.0
6.749 -0.083 0.058
5.435 3.182 -0.026
1.314 -1.197 3.039
Br P Rh
1 1 1
Direct
0.026 0.026 0.974
0.288 0.288 0.712
0.686 0.686 0.314



(5)
Pr2AsN | Alexandria | GGA-PBE | relaxed; ΔE_f (raw) = -28.51 kcal/mol of atoms; VASP energy = -6.87 eV/atom; distance to the lowest polymorph of the same formula = 0 meV per atom; total magnetization = 0.00 Bohr magnetons per cell
1.0
3.944 0.000 0.000
1.972 3.416 0.000
1.972 1.139 6.696
Pr As N
2 1 1
Direct
0.738 0.738 0.786
0.262 0.262 0.214
0.500 0.500 0.500
0.000 0.000 0.000



(6)
Ca4As2Cl3 | Alexandria | GGA-PBE | relaxed; ΔE_f (raw) = -38.98 kcal/mol of atoms; VASP energy = -4.23 eV/atom; total magnetization = 0.00 Bohr magnetons per cell
1.0
4.158 0.000 0.004
-2.079 3.601 -0.004
-0.002 0.001 17.257
Ca As Cl
4 2 3
Direct
0.334 0.666 0.886
0.999 0.001 0.315
0.001 0.999 0.685
0.666 0.334 0.114
0.667 0.333 0.794
0.333 0.667 0.206
0.666 0.334 0.394
0.000 0.000 0.000
0.334 0.666 0.606



Number 1: DOS(E_F) 5.44 states/eV per cell. Number 2: DOS(E_F) 10.86 states/eV per cell. Number 3: DOS(E_F) 23.56 states/eV per cell. Number 4: DOS(E_F) 1.26 states/eV per cell. Number 5: DOS(E_F) 0.87 states/eV per cell. Number 6: DOS(E_F) 4.60 states/eV per cell.